1.
The following is a PBE-GGA calculation of a relaxed La6PmYEr2 crystal, from Alexandria via LeMat-Bulk.

formation energy from the elements = 10 kJ per mole of atoms
crystal system = monoclinic

Cell lengths 9.8650, 9.0414, 9.0414 Å; angles 118.09, 94.41, 94.41 degrees
With the nearest neighbours (Å) after each atom.
Element x y z (fractional)
Er1 0.5456 0.1951 0.2904  5 La 3.36-3.57, 2 Y 3.43-3.44, 1 Pm 3.60
Er2 0.4544 0.8049 0.7096  5 La 3.36-3.57, 2 Y 3.43-3.44, 1 Pm 3.60
Er3 0.0456 0.2904 0.1951  5 La 3.36-3.57, 2 Y 3.43-3.44, 1 Pm 3.60
Er4 0.9544 0.7096 0.8049  5 La 3.36-3.57, 2 Y 3.43-3.44, 1 Pm 3.60
La1 0.3784 0.5069 0.2948  3 La 3.31-3.46, 3 Er 3.36-3.51, 2 Pm 3.48-3.65
La2 0.4484 0.2406 0.8915  5 La 3.46-3.83, 1 Er 3.49, 1 Y 3.69
La3 0.8094 0.4390 0.9917  3 La 3.31-3.70, 1 Pm 3.47, 1 Er 3.57, 1 Y 3.65
La4 0.0516 0.1085 0.7594  5 La 3.46-3.83, 1 Er 3.49, 1 Y 3.69
La5 0.5516 0.7594 0.1085  5 La 3.46-3.83, 1 Er 3.49, 1 Y 3.69
La6 0.1216 0.7052 0.4931  3 La 3.31-3.46, 3 Er 3.36-3.51, 2 Pm 3.48-3.65
La7 0.6906 0.0083 0.5610  3 La 3.31-3.70, 1 Pm 3.47, 1 Er 3.57, 1 Y 3.65
La8 0.3094 0.9917 0.4390  3 La 3.31-3.70, 1 Pm 3.47, 1 Er 3.57, 1 Y 3.65
La9 0.8784 0.2948 0.5069  3 La 3.31-3.46, 3 Er 3.36-3.51, 2 Pm 3.48-3.65
La10 0.6216 0.4931 0.7052  3 La 3.31-3.46, 3 Er 3.36-3.51, 2 Pm 3.48-3.65
La11 0.9484 0.8915 0.2406  5 La 3.46-3.83, 1 Er 3.49, 1 Y 3.69
La12 0.1906 0.5610 0.0083  3 La 3.31-3.70, 1 Pm 3.47, 1 Er 3.57, 1 Y 3.65
Y1 0.2500 0.9733 0.0267  4 Er 3.43-3.44, 4 La 3.65-3.69
Y2 0.7500 0.0267 0.9733  4 Er 3.43-3.44, 4 La 3.65-3.69
Pm1 0.2500 0.4092 0.5908  6 La 3.47-3.65, 2 Er 3.60
Pm2 0.7500 0.5908 0.4092  6 La 3.47-3.65, 2 Er 3.60

2.
The following is a PBE-GGA calculation of a relaxed La6Pm2YEr crystal, from Alexandria via LeMat-Bulk.

formation energy from the elements = 11 kJ per mole of atoms
crystal system = monoclinic

Cell lengths 9.3136, 9.1294, 9.1294 Å; angles 114.58, 89.11, 89.11 degrees
With the nearest neighbours (Å) after each atom.
Element x y z (fractional)
La1 0.4118 0.5758 0.2745  4 La 3.32-3.63, 2 Er 3.53-3.67, 2 Pm 3.59-3.71
La2 0.9118 0.2745 0.5758  4 La 3.32-3.63, 2 Er 3.53-3.67, 2 Pm 3.59-3.71
La3 0.1801 0.5239 0.9623  3 La 3.37-3.49, 1 Er 3.45, 1 Y 3.45, 1 Pm 3.50
La4 0.0882 0.7255 0.4242  4 La 3.32-3.63, 2 Er 3.53-3.67, 2 Pm 3.59-3.71
La5 0.5989 0.7830 0.0676  3 La 3.21-3.46, 1 Y 3.47, 1 Pm 3.56
La6 0.4011 0.2170 0.9324  3 La 3.21-3.46, 1 Y 3.47, 1 Pm 3.56
La7 0.6801 0.9623 0.5239  3 La 3.37-3.49, 1 Er 3.45, 1 Y 3.45, 1 Pm 3.50
La8 0.8199 0.4761 0.0377  3 La 3.37-3.49, 1 Er 3.45, 1 Y 3.45, 1 Pm 3.50
La9 0.3199 0.0377 0.4761  3 La 3.37-3.49, 1 Er 3.45, 1 Y 3.45, 1 Pm 3.50
La10 0.5882 0.4242 0.7255  4 La 3.32-3.63, 2 Er 3.53-3.67, 2 Pm 3.59-3.71
La11 0.0989 0.0676 0.7830  3 La 3.21-3.46, 1 Y 3.47, 1 Pm 3.56
La12 0.9011 0.9324 0.2170  3 La 3.21-3.46, 1 Y 3.47, 1 Pm 3.56
Pm1 0.5621 0.2071 0.2966  2 Er 3.46-3.76, 7 La 3.50-3.87, 1 Y 3.51
Pm2 0.4379 0.7929 0.7034  2 Er 3.46-3.76, 7 La 3.50-3.87, 1 Y 3.51
Pm3 0.9379 0.7034 0.7929  2 Er 3.46-3.76, 7 La 3.50-3.87, 1 Y 3.51
Pm4 0.0621 0.2966 0.2071  2 Er 3.46-3.76, 7 La 3.50-3.87, 1 Y 3.51
Y1 0.7500 0.0739 0.9261  6 La 3.45-3.69, 2 Pm 3.51
Y2 0.2500 0.9261 0.0739  6 La 3.45-3.69, 2 Pm 3.51
Er1 0.2500 0.4377 0.5623  6 La 3.45-3.67, 4 Pm 3.46-3.76
Er2 0.7500 0.5623 0.4377  6 La 3.45-3.67, 4 Pm 3.46-3.76

3.
The following is a PBE-GGA calculation of a relaxed La2Pm2YEr crystal, from Alexandria via LeMat-Bulk.

formation energy from the elements = 5 kJ per mole of atoms
crystal system = orthorhombic

Cell lengths 5.7423, 7.1357, 9.9778 Å; angles 90.00, 90.00, 90.00 degrees
With the nearest neighbours (Å) after each atom.
Element x y z (fractional)
La1 0.5000 0.5115 0.9977  6 La 3.57-3.82, 6 Pm 3.72-3.80, 2 Er 3.85-3.86
La2 0.0000 0.7618 0.8246  5 Pm 3.27-3.60
La3 0.5000 0.0114 0.0024  6 La 3.57-3.82, 6 Pm 3.72-3.80, 2 Er 3.85-3.86
La4 0.0000 0.2619 0.1754  5 Pm 3.27-3.60
Pm1 0.0000 0.2578 0.8350  2 Er 3.37, 7 La 3.40-3.76, 1 Y 3.77
Pm2 0.5000 0.7561 0.6681  3 Er 3.25-3.59, 2 La 3.27
Pm3 0.0000 0.7578 0.1650  2 Er 3.37, 7 La 3.40-3.76, 1 Y 3.77
Pm4 0.5000 0.2560 0.3319  3 Er 3.25-3.59, 2 La 3.27
Er1 0.5000 0.7534 0.3424  5 Pm 3.25-3.59
Er2 0.5000 0.2534 0.6576  5 Pm 3.25-3.59
Y1 0.0000 0.0051 0.4987  2 Y 3.57, 2 La 3.69-3.71, 4 Er 3.73, 6 Pm 3.77-3.81
Y2 0.0000 0.5051 0.5013  2 Y 3.57, 2 La 3.69-3.71, 4 Er 3.73, 6 Pm 3.77-3.81

4.
The following is a PBE-GGA calculation of a relaxed LaPmY5Er2 crystal, from Alexandria via LeMat-Bulk.

formation energy from the elements = 16 kJ per mole of atoms
crystal system = orthorhombic

Cell lengths 5.6617, 10.4467, 10.5297 Å; angles 90.00, 90.00, 105.72 degrees
With the nearest neighbours (Å) after each atom.
Element x y z (fractional)
Pm1 0.1973 0.3947 0.0152  2 Er 3.43-3.64, 8 Y 3.49-3.81, 2 La 3.73
Pm2 0.8027 0.6053 0.5152  2 Er 3.43-3.64, 8 Y 3.49-3.81, 2 La 3.73
Y1 0.7221 0.4442 0.8204  1 La 3.09, 1 Er 3.33, 2 Y 3.42
Y2 0.9842 0.9683 0.5244  2 La 3.25, 3 Er 3.36-3.63, 2 Y 3.59
Y3 0.6143 0.2285 0.5248  6 Y 3.53-3.85, 4 Er 3.56-3.58, 1 Pm 3.79
Y4 0.2979 0.5958 0.7083  4 Y 3.42-3.77, 3 Pm 3.49-3.81, 3 Er 3.56-3.75, 1 La 3.68
Y5 0.0158 0.0317 0.0244  2 La 3.25, 3 Er 3.36-3.63, 2 Y 3.59
Y6 0.7021 0.4042 0.2083  4 Y 3.42-3.77, 3 Pm 3.49-3.81, 3 Er 3.56-3.75, 1 La 3.68
Y7 0.3857 0.7715 0.0248  6 Y 3.53-3.85, 4 Er 3.56-3.58, 1 Pm 3.79
Y8 0.4776 0.9551 0.7345  2 La 3.05-3.30
Y9 0.5224 0.0449 0.2345  2 La 3.05-3.30
Y10 0.2779 0.5558 0.3204  1 La 3.09, 1 Er 3.33, 2 Y 3.42
Er1 0.1124 0.2247 0.3200  9 Y 3.33-3.67, 1 Pm 3.64
Er2 0.8876 0.7753 0.8200  9 Y 3.33-3.67, 1 Pm 3.64
Er3 0.8881 0.7762 0.2331  7 Y 3.38-3.75, 1 Pm 3.43, 2 La 3.64
Er4 0.1119 0.2238 0.7331  7 Y 3.38-3.75, 1 Pm 3.43, 2 La 3.64
La1 0.5827 0.1655 0.9433  5 Y 3.05-3.30
La2 0.4173 0.8345 0.4433  5 Y 3.05-3.30

5.
The following is a PBE-GGA calculation of a relaxed LaPm6YEr2 crystal, from Alexandria via LeMat-Bulk.

formation energy from the elements = 11 kJ per mole of atoms
crystal system = monoclinic

Cell lengths 9.7502, 8.9399, 8.9399 Å; angles 117.72, 94.07, 94.07 degrees
With the nearest neighbours (Å) after each atom.
Element x y z (fractional)
La1 0.7500 0.5942 0.4058  6 Pm 3.49-3.62, 2 Er 3.62
La2 0.2500 0.4058 0.5942  6 Pm 3.49-3.62, 2 Er 3.62
Y1 0.7500 0.0292 0.9708  4 Er 3.42-3.43, 4 Pm 3.60-3.69
Y2 0.2500 0.9708 0.0292  4 Er 3.42-3.43, 4 Pm 3.60-3.69
Pm1 0.8187 0.4333 0.9782  2 Pm 3.25-3.58, 1 Er 3.49, 1 La 3.54, 1 Y 3.60
Pm2 0.6813 0.0218 0.5667  2 Pm 3.25-3.58, 1 Er 3.49, 1 La 3.54, 1 Y 3.60
Pm3 0.3788 0.5071 0.2939  3 Pm 3.25-3.44, 3 Er 3.33-3.48, 2 La 3.49-3.62
Pm4 0.8788 0.2939 0.5071  3 Pm 3.25-3.44, 3 Er 3.33-3.48, 2 La 3.49-3.62
Pm5 0.3187 0.9782 0.4333  2 Pm 3.25-3.58, 1 Er 3.49, 1 La 3.54, 1 Y 3.60
Pm6 0.5546 0.7588 0.1131  7 Pm 3.44-3.85, 1 Er 3.47, 2 Y 3.69-3.84
Pm7 0.1813 0.5667 0.0218  2 Pm 3.25-3.58, 1 Er 3.49, 1 La 3.54, 1 Y 3.60
Pm8 0.9454 0.8869 0.2412  7 Pm 3.44-3.85, 1 Er 3.47, 2 Y 3.69-3.84
Pm9 0.1212 0.7061 0.4929  3 Pm 3.25-3.44, 3 Er 3.33-3.48, 2 La 3.49-3.62
Pm10 0.4454 0.2412 0.8869  7 Pm 3.44-3.85, 1 Er 3.47, 2 Y 3.69-3.84
Pm11 0.6212 0.4929 0.7061  3 Pm 3.25-3.44, 3 Er 3.33-3.48, 2 La 3.49-3.62
Pm12 0.0546 0.1131 0.7588  7 Pm 3.44-3.85, 1 Er 3.47, 2 Y 3.69-3.84
Er1 0.4546 0.8054 0.7056  6 Pm 3.33-3.66, 2 Y 3.42-3.43, 1 La 3.62
Er2 0.9546 0.7056 0.8054  6 Pm 3.33-3.66, 2 Y 3.42-3.43, 1 La 3.62
Er3 0.5454 0.1946 0.2944  6 Pm 3.33-3.66, 2 Y 3.42-3.43, 1 La 3.62
Er4 0.0454 0.2944 0.1946  6 Pm 3.33-3.66, 2 Y 3.42-3.43, 1 La 3.62

6.
The following is a PBE-GGA calculation of a relaxed LaPmErZr crystal, from Alexandria via LeMat-Bulk.

formation energy from the elements = 24 kJ per mole of atoms
crystal system = cubic

Cell lengths 5.5770, 5.5770, 5.5770 Å; angles 60.00, 60.00, 60.00 degrees
With the nearest neighbours (Å) after each atom.
Element x y z (fractional)
Pm1 0.0000 0.0000 0.0000  4 La 3.42, 4 Zr 3.42
Zr1 0.2500 0.2500 0.2500  4 Er 3.42, 4 Pm 3.42
Er1 0.5000 0.5000 0.5000  4 Zr 3.42, 4 La 3.42
La1 0.7500 0.7500 0.7500  4 Pm 3.42, 4 Er 3.42

7.
The following is a PBE-GGA calculation of a relaxed La3Pr2Er2 crystal, from Alexandria via LeMat-Bulk.

formation energy from the elements = 11 kJ per mole of atoms
crystal system = monoclinic

Cell lengths 3.5679, 8.7146, 9.1698 Å; angles 118.17, 101.22, 90.00 degrees
With the nearest neighbours (Å) after each atom.
Element x y z (fractional)
Er1 0.8537 0.6671 0.7073  4 Er 3.57-3.89, 4 La 3.57-3.65, 4 Pr 3.69-3.79
Er2 0.1463 0.3329 0.2927  4 Er 3.57-3.89, 4 La 3.57-3.65, 4 Pr 3.69-3.79
La1 0.7862 0.2087 0.5725  5 La 3.44-3.68, 3 Pr 3.55-3.77, 3 Er 3.57-3.65
La2 0.2138 0.7913 0.4275  5 La 3.44-3.68, 3 Pr 3.55-3.77, 3 Er 3.57-3.65
La3 0.0000 0.5000 0.0000  4 La 3.44-3.57, 2 Er 3.57, 4 Pr 3.66
Pr1 0.4349 0.0874 0.8698  3 Pr 3.35-3.57, 3 La 3.55-3.66, 2 Er 3.69
Pr2 0.5651 0.9126 0.1302  3 Pr 3.35-3.57, 3 La 3.55-3.66, 2 Er 3.69

8.
The following is a PBE-GGA calculation of a relaxed LaPrEr4 crystal, from Alexandria via LeMat-Bulk.

formation energy from the elements = 3 kJ per mole of atoms
crystal system = triclinic

Cell lengths 3.6001, 9.4506, 11.8852 Å; angles 148.74, 90.11, 100.93 degrees
With the nearest neighbours (Å) after each atom.
Element x y z (fractional)
Er1 0.3337 0.6676 0.0029  7 Er 3.54-3.63, 3 Pr 3.56-3.59, 2 La 3.60
Er2 0.6661 0.3320 0.9966  7 Er 3.54-3.64, 3 Pr 3.56-3.59, 2 La 3.60
Er3 0.1653 0.3301 0.4967  7 Er 3.55-3.63, 3 La 3.57-3.60, 2 Pr 3.58
Er4 0.8348 0.6701 0.5038  7 Er 3.55-3.64, 3 La 3.56-3.59, 2 Pr 3.58-3.59
La1 0.0002 0.0005 0.0003  10 Er 3.56-3.60, 2 La 3.60
Pr1 0.4998 0.9996 0.4997  10 Er 3.56-3.59, 2 Pr 3.60

9.
The following is a PBE-GGA calculation of a relaxed LaPr4Er8 crystal, from Alexandria via LeMat-Bulk.

formation energy from the elements = 51 kJ per mole of atoms
crystal system = trigonal

Cell lengths 7.8447, 7.8447, 7.8447 Å; angles 90.12, 90.12, 90.12 degrees
With the nearest neighbours (Å) after each atom.
Element x y z (fractional)
Er1 0.7602 0.2383 0.2383  4 Pr 3.25-3.45, 1 La 3.55
Er2 0.7617 0.7617 0.2398  4 Pr 3.25-3.45, 1 La 3.55
Er3 0.2383 0.2383 0.7602  4 Pr 3.25-3.45, 1 La 3.55
Er4 0.2383 0.7602 0.2383  4 Pr 3.25-3.45, 1 La 3.55
Er5 0.2398 0.7617 0.7617  4 Pr 3.25-3.45, 1 La 3.55
Er6 0.7612 0.7612 0.7612  4 Pr 3.24-3.45, 1 La 3.54
Er7 0.2388 0.2388 0.2388  4 Pr 3.24-3.45, 1 La 3.54
Er8 0.7617 0.2398 0.7617  4 Pr 3.25-3.45, 1 La 3.55
Pr1 0.5000 0.5000 0.0000  8 Er 3.45
Pr2 0.0000 0.0000 0.0000  8 Er 3.24-3.25
Pr3 0.5000 0.0000 0.5000  8 Er 3.45
Pr4 0.0000 0.5000 0.5000  8 Er 3.45
La1 0.5000 0.5000 0.5000  8 Er 3.54-3.55, 6 Pr 3.92

10.
The following is a PBE-GGA calculation of a relaxed La3Pr2Er5 crystal, from Alexandria via LeMat-Bulk.

formation energy from the elements = 16 kJ per mole of atoms
crystal system = monoclinic

Cell lengths 9.2458, 9.2364, 11.3180 Å; angles 123.11, 123.13, 70.21 degrees
With the nearest neighbours (Å) after each atom.
Element x y z (fractional)
Pr1 0.2348 0.9874 0.2630  2 La 3.12-3.34, 4 Er 3.33-3.46
Pr2 0.5282 0.2756 0.2630  2 La 3.12-3.34, 4 Er 3.33-3.46
Pr3 0.4718 0.7244 0.7370  2 La 3.12-3.34, 4 Er 3.33-3.46
Pr4 0.7652 0.0126 0.7370  2 La 3.12-3.34, 4 Er 3.33-3.46
Er1 0.6321 0.8789 0.2739  2 Pr 3.41-3.51, 3 La 3.42-3.73, 3 Er 3.53-3.80
Er2 0.3679 0.1211 0.7261  2 Pr 3.41-3.51, 3 La 3.42-3.73, 3 Er 3.53-3.80
Er3 0.7250 0.4750 0.9499  1 Er 3.29, 4 La 3.38-3.51, 2 Pr 3.58
Er4 0.1419 0.3950 0.2739  2 Pr 3.41-3.51, 3 La 3.42-3.73, 3 Er 3.53-3.80
Er5 0.5299 0.2799 0.5597  3 Er 3.29-3.60, 4 Pr 3.33-3.44, 2 La 3.47
Er6 0.0258 0.7758 0.5515  5 La 3.39-3.48, 2 Pr 3.46, 2 Er 3.53
Er7 0.2750 0.5250 0.0501  1 Er 3.29, 4 La 3.38-3.51, 2 Pr 3.58
Er8 0.4701 0.7201 0.4403  3 Er 3.29-3.60, 4 Pr 3.33-3.44, 2 La 3.47
Er9 0.9742 0.2242 0.4485  5 La 3.39-3.48, 2 Pr 3.46, 2 Er 3.53
Er10 0.8581 0.6050 0.7261  2 Pr 3.41-3.51, 3 La 3.42-3.73, 3 Er 3.53-3.80
La1 0.0222 0.7754 0.2501  1 Pr 3.12, 5 Er 3.38-3.48
La2 0.2324 0.9824 0.9648  4 Pr 3.34-3.63, 3 Er 3.48-3.73, 2 La 3.55
La3 0.9778 0.2246 0.7499  1 Pr 3.12, 5 Er 3.38-3.48
La4 0.2721 0.5253 0.7499  1 Pr 3.12, 5 Er 3.38-3.48
La5 0.7279 0.4747 0.2501  1 Pr 3.12, 5 Er 3.38-3.48
La6 0.7676 0.0176 0.0352  4 Pr 3.34-3.63, 3 Er 3.48-3.73, 2 La 3.55

11.
The following is a PBE-GGA calculation of a relaxed La4Pr7Er crystal, from Alexandria via LeMat-Bulk.

formation energy from the elements = 1 kJ per mole of atoms
crystal system = triclinic

Cell lengths 7.3991, 9.7999, 9.8066 Å; angles 69.25, 79.28, 40.96 degrees
With the nearest neighbours (Å) after each atom.
Element x y z (fractional)
Pr1 0.5000 0.0000 0.0000  6 Pr 3.69-3.72, 4 La 3.70-3.71, 2 Er 3.70
Pr2 0.2517 0.5010 0.0002  7 Pr 3.66-3.74, 2 Er 3.69-3.70, 3 La 3.70-3.73
Pr3 0.7509 0.1660 0.3309  5 Pr 3.68-3.74, 6 La 3.68-3.75, 1 Er 3.68
Pr4 0.2491 0.8340 0.6691  5 Pr 3.68-3.74, 6 La 3.68-3.75, 1 Er 3.68
Pr5 0.7483 0.4990 0.9998  7 Pr 3.66-3.74, 2 Er 3.69-3.70, 3 La 3.70-3.73
Pr6 0.0001 0.3321 0.6690  6 La 3.68-3.75, 5 Pr 3.69-3.75, 1 Er 3.69
Pr7 0.9999 0.6679 0.3310  6 La 3.68-3.75, 5 Pr 3.69-3.75, 1 Er 3.69
Er1 0.0000 0.0000 0.0000  2 La 3.67, 10 Pr 3.68-3.70
La1 0.7521 0.8325 0.6672  9 Pr 3.69-3.73, 3 La 3.71-3.72
La2 0.5045 0.3305 0.6694  1 Er 3.67, 8 Pr 3.68-3.75, 3 La 3.71-3.74
La3 0.4955 0.6695 0.3306  1 Er 3.67, 8 Pr 3.68-3.75, 3 La 3.71-3.74
La4 0.2479 0.1675 0.3328  9 Pr 3.69-3.73, 3 La 3.71-3.72

12.
The following is a PBE-GGA calculation of a relaxed LaPr4Er5 crystal, from Alexandria via LeMat-Bulk.

formation energy from the elements = 2 kJ per mole of atoms
crystal system = tetragonal

Cell lengths 3.6448, 3.6448, 25.1528 Å; angles 90.00, 90.00, 90.00 degrees
With the nearest neighbours (Å) after each atom.
Element x y z (fractional)
Pr1 0.0000 0.0000 0.6000  8 Er 3.60, 4 Pr 3.64
Pr2 0.0000 0.0000 0.4000  8 Er 3.60, 4 Pr 3.64
Pr3 0.0000 0.0000 0.2001  8 Er 3.59-3.60, 4 Pr 3.64
Pr4 0.0000 0.0000 0.7999  8 Er 3.59-3.60, 4 Pr 3.64
La1 0.0000 0.0000 0.0000  8 Er 3.61, 4 La 3.64
Er1 0.5000 0.5000 0.6999  8 Pr 3.60, 4 Er 3.64
Er2 0.5000 0.5000 0.5000  8 Pr 3.60, 4 Er 3.64
Er3 0.5000 0.5000 0.1008  4 Pr 3.59, 4 La 3.61, 4 Er 3.64
Er4 0.5000 0.5000 0.8992  4 Pr 3.59, 4 La 3.61, 4 Er 3.64
Er5 0.5000 0.5000 0.3001  8 Pr 3.60, 4 Er 3.64

| no. | total magnetization (μB/f.u.) |
| --- | --- |
| 1 | 0.000 |
| 2 | 0.000 |
| 3 | 0.000 |
| 4 | 0.000 |
| 5 | 0.002 |
| 6 | 1.282 |
| 7 | 0.000 |
| 8 | 0.002 |
| 9 | 2.402 |
| 10 | 0.000 |
| 11 | 0.000 |
| 12 | 0.000 |